Record 1
Compound: BaInAu2Se
Source: Alexandria
Functional: GGA-PBE
Structure: relaxed

Lattice parameters (Å, degrees): 6.145 6.145 6.025 90.00 90.00 90.00
Space group P4/mmm (No. 123)
One atom of each set of equivalent atoms:
1 Ba 0.000 0.000 0.000 (multiplicity 1)
2 In 0.500 0.500 0.500 (multiplicity 1)
3 Au 0.000 0.500 0.000 (multiplicity 2)
4 Se 0.000 0.000 0.500 (multiplicity 1)

Calculated total energy = -2.724 eV/atom
ΔE_f (raw) = 0.216 eV per atom
Spin magnetization = 0.51 μB/cell

Record 2
Compound: Ba2InSi3Au12
Source: Alexandria
Functional: GGA-PBE
Structure: relaxed

Lattice parameters (Å, degrees): 8.8964 8.8964 20.2678 90.00 90.00 120.00
Space group R-3m (No. 166, hexagonal axes)
One atom of each set of equivalent atoms:
1 Ba 0.0000 0.0000 0.1080 (multiplicity 6)
2 In 0.0000 0.0000 0.5000 (multiplicity 3)
3 Si 0.0000 0.5000 0.0000 (multiplicity 9)
4 Au 0.0007 0.5003 0.1209 (multiplicity 18)
5 Au 0.0355 0.5178 0.3383 (multiplicity 18)

Calculated total energy = -3.581 eV/atom
ΔE_f (raw) = -0.126 eV per atom
Spin magnetization = 0.00 μB/cell

Record 3
Compound: Ba2InSiAu6
Source: Alexandria
Functional: GGA-PBE
Structure: relaxed

Lattice parameters (Å, degrees): 11.904 6.871 7.461 90.00 122.26 90.00
Space group C2/m (No. 12)
One atom of each set of equivalent atoms:
1 Ba 0.218 0.000 0.151 (multiplicity 4)
2 In 0.000 0.500 0.000 (multiplicity 2)
3 Si 0.000 0.000 0.500 (multiplicity 2)
4 Au 0.042 0.282 0.340 (multiplicity 8)
5 Au 0.242 0.000 0.659 (multiplicity 4)

Calculated total energy = -3.661 eV/atom
ΔE_f (raw) = -0.494 eV per atom
Spin magnetization = 0.00 μB/cell